Compound: BiAu2Br8
Source: Alexandria via LeMat-Bulk
Functional: PBE-GGA
Structure: optimized geometry

a b c (Å): 7.396 8.082 8.082
angles (deg): 82.75 73.43 73.43
Atoms (fractional coordinates):
Bi  0.000  0.000  0.000
Au  0.387  0.153  0.153
Au  0.613  0.847  0.847
Br  0.806  0.082  0.725
Br  0.194  0.275  0.918
Br  0.659  0.226  0.226
Br  0.341  0.774  0.774
Br  0.806  0.725  0.082
Br  0.194  0.918  0.275
Br  0.110  0.396  0.396
Br  0.890  0.604  0.604

---

Compound: BiAu3Br
Source: Alexandria via LeMat-Bulk
Functional: PBE-GGA
Structure: optimized geometry

a b c (Å): 5.152 5.152 5.152
angles (deg): 90.00 90.00 90.00
Atoms (fractional coordinates):
Au  0.000  0.500  0.000
Au  0.000  0.000  0.500
Au  0.500  0.000  0.000
Bi  0.500  0.500  0.500
Br  0.000  0.000  0.000

---

Compound: Bi5AuBr2
Source: Alexandria via LeMat-Bulk
Functional: PBE-GGA
Structure: optimized geometry

a b c (Å): 8.922 4.548 8.601
angles (deg): 97.37 121.23 90.00
Atoms (fractional coordinates):
Bi  0.888  0.249  0.197
Bi  0.310  0.249  0.197
Bi  0.646  0.650  0.908
Bi  0.262  0.650  0.908
Bi  0.634  0.873  0.267
Au  0.983  0.894  0.967
Br  0.226  0.738  0.453
Br  0.828  0.474  0.657

---

Compound: Bi2AuBr
Source: Alexandria via LeMat-Bulk
Functional: PBE-GGA
Structure: optimized geometry

a b c (Å): 4.993 4.993 10.749
angles (deg): 76.57 76.57 90.00
Atoms (fractional coordinates):
Au  0.000  0.000  0.000
Au  0.750  0.250  0.500
Bi  0.677  0.125  0.250
Bi  0.073  0.625  0.250
Bi  0.375  0.323  0.750
Bi  0.875  0.927  0.750
Br  0.500  0.500  0.000
Br  0.250  0.750  0.500

---

Compound: BiAuBr2
Source: Alexandria via LeMat-Bulk
Functional: PBE-GGA
Structure: optimized geometry

a b c (Å): 10.466 10.466 7.887
angles (deg): 48.43 48.43 90.00
Atoms (fractional coordinates):
Au  0.500  0.500  0.000
Au  0.250  0.750  0.500
Bi  0.000  0.000  0.000
Bi  0.750  0.250  0.500
Br  0.761  0.125  0.250
Br  0.989  0.625  0.250
Br  0.375  0.239  0.750
Br  0.875  0.011  0.750

---

Compound: BiAuBr2
Source: Alexandria via LeMat-Bulk
Functional: PBE-GGA
Structure: optimized geometry

a b c (Å): 5.249 5.249 5.249
angles (deg): 60.00 60.00 60.00
Atoms (fractional coordinates):
Au  0.000  0.000  0.000
Bi  0.500  0.500  0.500
Br  0.250  0.250  0.250
Br  0.750  0.750  0.750

---

For reference, energy relative to the elements, uncorrected by record: -0.22, 0.85, -0.14, 0.09, -0.15, 0.20 eV per atom.
For reference, DFT total energy by record: -2.387, -2.230, -3.389, -3.092, -2.780, -2.429 eV/atom.
For reference, Fermi-level density of states by record: 11.13, 4.93, 0.53, 0.10, 0.00, 2.27 states/eV/cell.